--- P ---
# Pm5Nd2Sm | the Alexandria database | PBE | optimized geometry
# Spin magnetization (Bohr magnetons per cell): 0.00
data_Pm5Nd2Sm
_space_group_name_H-M_alt 'C 1 2/c 1'
_space_group_IT_number 15
_space_group_name_Hall '-C 2yc'
_cell_length_a 16.6927
_cell_length_b 10.1815
_cell_length_c 6.6330
_cell_angle_alpha 90.00
_cell_angle_beta 99.42
_cell_angle_gamma 90.00
loop_
_atom_site_label
_atom_site_type_symbol
_atom_site_fract_x
_atom_site_fract_y
_atom_site_fract_z
Pm1 Pm 0.0000 0.0607 0.2500
Pm2 Pm 0.0972 0.4103 0.1500
Pm3 Pm 0.2020 0.0868 0.0238
Nd1 Nd 0.0803 0.2555 0.6281
Sm1 Sm 0.2500 0.2500 0.5000



--- Q ---
# Pm5Nd2Sm | the Alexandria database | PBE | optimized geometry
# Spin magnetization (Bohr magnetons per cell): 0.00
data_Pm5Nd2Sm
_space_group_name_H-M_alt 'P b a m'
_space_group_IT_number 55
_space_group_name_Hall '-P 2 2ab'
_cell_length_a 7.3138
_cell_length_b 14.6277
_cell_length_c 5.1629
_cell_angle_alpha 90.00
_cell_angle_beta 90.00
_cell_angle_gamma 90.00
loop_
_atom_site_label
_atom_site_type_symbol
_atom_site_fract_x
_atom_site_fract_y
_atom_site_fract_z
Pm1 Pm 0.0000 0.0000 0.0000
Pm2 Pm 0.9995 0.2502 0.0000
Pm3 Pm 0.2497 0.1250 0.5000
Nd1 Nd 0.2496 0.3752 0.5000
Sm1 Sm 0.0000 0.5000 0.0000



Q takes first place; second place is 135 meV per atom up.



--- P ---
# Pm2Nd5Sm3 | the Alexandria database | PBE | optimized geometry
# Spin magnetization (Bohr magnetons per cell): 0.00
data_Pm2Nd5Sm3
_space_group_name_H-M_alt 'I b a m'
_space_group_IT_number 72
_space_group_name_Hall '-I 2 2c'
_cell_length_a 9.5456
_cell_length_b 22.3045
_cell_length_c 6.9351
_cell_angle_alpha 90.00
_cell_angle_beta 90.00
_cell_angle_gamma 90.00
loop_
_atom_site_label
_atom_site_type_symbol
_atom_site_fract_x
_atom_site_fract_y
_atom_site_fract_z
Pm1 Pm 0.0956 0.1221 0.0000
Nd1 Nd 0.0000 0.2476 0.2500
Nd2 Nd 0.0000 0.5000 0.2500
Nd3 Nd 0.0960 0.3728 0.5000
Sm1 Sm 0.0000 0.0000 0.2500
Sm2 Sm 0.2487 0.1226 0.5000



--- Q ---
# Pm2Nd5Sm3 | the Alexandria database | PBE | optimized geometry
# Spin magnetization (Bohr magnetons per cell): 0.00
data_Pm2Nd5Sm3
_space_group_name_H-M_alt 'C 1 2/c 1'
_space_group_IT_number 15
_space_group_name_Hall '-C 2yc'
_cell_length_a 10.9905
_cell_length_b 15.1777
_cell_length_c 10.0520
_cell_angle_alpha 90.00
_cell_angle_beta 123.05
_cell_angle_gamma 90.00
loop_
_atom_site_label
_atom_site_type_symbol
_atom_site_fract_x
_atom_site_fract_y
_atom_site_fract_z
Pm1 Pm 0.1467 0.1244 0.0546
Nd1 Nd 0.0000 0.2299 0.2500
Nd2 Nd 0.0000 0.2719 0.7500
Nd3 Nd 0.0000 0.4757 0.7500
Nd4 Nd 0.2389 0.3761 0.2284
Sm1 Sm 0.0000 0.0198 0.2500
Sm2 Sm 0.1579 0.3757 0.5532



Q takes first place; second place is 174 meV per atom up.



--- P ---
# Pm2Nd5Sm | the Alexandria database | PBE | optimized geometry
# Spin magnetization (Bohr magnetons per cell): 0.00
data_Pm2Nd5Sm
_space_group_name_H-M_alt 'P b a m'
_space_group_IT_number 55
_space_group_name_Hall '-P 2 2ab'
_cell_length_a 7.3350
_cell_length_b 14.6727
_cell_length_c 5.1828
_cell_angle_alpha 90.00
_cell_angle_beta 90.00
_cell_angle_gamma 90.00
loop_
_atom_site_label
_atom_site_type_symbol
_atom_site_fract_x
_atom_site_fract_y
_atom_site_fract_z
Pm1 Pm 0.2490 0.1246 0.0000
Nd1 Nd 0.0000 0.5000 0.5000
Nd2 Nd 0.0011 0.7505 0.5000
Nd3 Nd 0.2495 0.3753 0.0000
Sm1 Sm 0.0000 0.0000 0.5000



--- Q ---
# Pm2Nd5Sm | the Alexandria database | PBE | optimized geometry
# Spin magnetization (Bohr magnetons per cell): 0.00
data_Pm2Nd5Sm
_space_group_name_H-M_alt 'P -1'
_space_group_IT_number 2
_space_group_name_Hall '-P 1'
_cell_length_a 8.7833
_cell_length_b 11.6137
_cell_length_c 12.0429
_cell_angle_alpha 96.10
_cell_angle_beta 109.42
_cell_angle_gamma 100.11
loop_
_atom_site_label
_atom_site_type_symbol
_atom_site_fract_x
_atom_site_fract_y
_atom_site_fract_z
Pm1 Pm 0.0342 0.3696 0.0925
Pm2 Pm 0.1738 0.5948 0.3818
Pm3 Pm 0.2029 0.4265 0.8579
Pm4 Pm 0.2181 0.3590 0.5740
Nd1 Nd 0.0757 0.1309 0.2828
Nd2 Nd 0.1279 0.8963 0.4880
Nd3 Nd 0.1443 0.8342 0.1983
Nd4 Nd 0.1673 0.0809 0.0061
Nd5 Nd 0.1687 0.6550 0.6780
Nd6 Nd 0.3445 0.8563 0.9714
Nd7 Nd 0.3820 0.6272 0.1607
Nd8 Nd 0.4326 0.3883 0.3680
Nd9 Nd 0.4434 0.3381 0.0908
Nd10 Nd 0.4748 0.1493 0.5530
Sm1 Sm 0.2642 0.1277 0.7602
Sm2 Sm 0.4940 0.0898 0.2648



P takes first place; second place is 50 meV per atom up.



--- P ---
# Pm2Nd2Sm | the Alexandria database | PBE | optimized geometry
# Spin magnetization (Bohr magnetons per cell): 0.00
data_Pm2Nd2Sm
_space_group_name_H-M_alt 'R -3 m'
_space_group_IT_number 166
_space_group_name_Hall '-R 3 2"'
_cell_length_a 3.6592
_cell_length_b 3.6592
_cell_length_c 44.7411
_cell_angle_alpha 90.00
_cell_angle_beta 90.00
_cell_angle_gamma 120.00
loop_
_atom_site_label
_atom_site_type_symbol
_atom_site_fract_x
_atom_site_fract_y
_atom_site_fract_z
Pm1 Pm 0.0000 0.0000 0.1006
Nd1 Nd 0.0000 0.0000 0.2997
Sm1 Sm 0.0000 0.0000 0.5000



--- Q ---
# Pm2Nd2Sm | the Alexandria database | PBE | optimized geometry
# Spin magnetization (Bohr magnetons per cell): 0.00
data_Pm2Nd2Sm
_space_group_name_H-M_alt 'C 1 2/c 1'
_space_group_IT_number 15
_space_group_name_Hall '-C 2yc'
_cell_length_a 8.7626
_cell_length_b 9.7189
_cell_length_c 9.0562
_cell_angle_alpha 90.00
_cell_angle_beta 111.92
_cell_angle_gamma 90.00
loop_
_atom_site_label
_atom_site_type_symbol
_atom_site_fract_x
_atom_site_fract_y
_atom_site_fract_z
Pm1 Pm 0.0000 0.0000 0.0000
Pm2 Pm 0.2500 0.2500 0.0000
Nd1 Nd 0.1593 0.4079 0.6365
Sm1 Sm 0.0000 0.3009 0.2500



P takes first place; second place is 214 meV per atom up.



--- P ---
# Pm2NdSm7 | the Alexandria database | PBE | optimized geometry
# Spin magnetization (Bohr magnetons per cell): 0.00
data_Pm2NdSm7
_space_group_name_H-M_alt 'C m m m'
_space_group_IT_number 65
_space_group_name_Hall '-C 2 2'
_cell_length_a 8.8294
_cell_length_b 16.4283
_cell_length_c 5.6080
_cell_angle_alpha 90.00
_cell_angle_beta 90.00
_cell_angle_gamma 90.00
loop_
_atom_site_label
_atom_site_type_symbol
_atom_site_fract_x
_atom_site_fract_y
_atom_site_fract_z
Pm1 Pm 0.0000 0.2036 0.0000
Nd1 Nd 0.0000 0.5000 0.5000
Sm1 Sm 0.0000 0.0000 0.0000
Sm2 Sm 0.0000 0.2777 0.5000
Sm3 Sm 0.1793 0.3862 0.0000



--- Q ---
# Pm2NdSm7 | the Alexandria database | PBE | optimized geometry
# Spin magnetization (Bohr magnetons per cell): 0.00
data_Pm2NdSm7
_space_group_name_H-M_alt 'C m m m'
_space_group_IT_number 65
_space_group_name_Hall '-C 2 2'
_cell_length_a 12.0285
_cell_length_b 16.9408
_cell_length_c 3.5358
_cell_angle_alpha 90.00
_cell_angle_beta 90.00
_cell_angle_gamma 90.00
loop_
_atom_site_label
_atom_site_type_symbol
_atom_site_fract_x
_atom_site_fract_y
_atom_site_fract_z
Pm1 Pm 0.0000 0.1721 0.0000
Nd1 Nd 0.0000 0.0000 0.5000
Sm1 Sm 0.0000 0.3258 0.5000
Sm2 Sm 0.0000 0.5000 0.0000
Sm3 Sm 0.2428 0.3708 0.0000



Q takes first place; second place is 255 meV per atom up.



--- P ---
# Pm3Nd4Sm4 | the Alexandria database | PBE | optimized geometry
# Spin magnetization (Bohr magnetons per cell): 0.00
data_Pm3Nd4Sm4
_space_group_name_H-M_alt 'I m m m'
_space_group_IT_number 71
_space_group_name_Hall '-I 2 2'
_cell_length_a 3.6506
_cell_length_b 9.6058
_cell_length_c 22.2469
_cell_angle_alpha 90.00
_cell_angle_beta 90.00
_cell_angle_gamma 90.00
loop_
_atom_site_label
_atom_site_type_symbol
_atom_site_fract_x
_atom_site_fract_y
_atom_site_fract_z
Pm1 Pm 0.0000 0.0000 0.0000
Pm2 Pm 0.0000 0.5000 0.1081
Nd1 Nd 0.0000 0.3236 0.3552
Sm1 Sm 0.0000 0.0000 0.2599
Sm2 Sm 0.0000 0.1843 0.5000



--- Q ---
# Pm3Nd4Sm4 | the Alexandria database | PBE | optimized geometry
# Spin magnetization (Bohr magnetons per cell): 0.00
data_Pm3Nd4Sm4
_space_group_name_H-M_alt 'A m m 2'
_space_group_IT_number 38
_space_group_name_Hall 'A 2 -2'
_cell_length_a 10.8636
_cell_length_b 5.8178
_cell_length_c 12.2071
_cell_angle_alpha 90.00
_cell_angle_beta 90.00
_cell_angle_gamma 90.00
loop_
_atom_site_label
_atom_site_type_symbol
_atom_site_fract_x
_atom_site_fract_y
_atom_site_fract_z
Pm1 Pm 0.0000 0.0000 0.0000
Pm2 Pm 0.2944 0.0000 0.1536
Nd1 Nd 0.0000 0.0000 0.7047
Nd2 Nd 0.2093 0.0000 0.4996
Nd3 Nd 0.5000 0.0000 0.6334
Sm1 Sm 0.0000 0.0000 0.2975
Sm2 Sm 0.2998 0.0000 0.8497
Sm3 Sm 0.5000 0.0000 0.3606



P takes first place; second place is 17 meV per atom up.